First-principles (PBE-GGA) data for a relaxed TaS2 crystal, as listed in Alexandria.

Structure (CIF):
```
data_TaS2
_chemical_formula_sum 'Ta2 S4'
_cell_length_a 5.758
_cell_length_b 6.210
_cell_length_c 3.355
_cell_angle_alpha 90.00
_cell_angle_beta 90.00
_cell_angle_gamma 90.00
_space_group_name_H-M_alt 'P n n m'
_space_group_IT_number 58
loop_
_space_group_symop_operation_xyz
'x,y,z'
'-x,-y,-z'
'-x,-y,z'
'x,y,-z'
'x+1/2,-y+1/2,-z+1/2'
'-x+1/2,y+1/2,z+1/2'
'-x+1/2,y+1/2,-z+1/2'
'x+1/2,-y+1/2,z+1/2'
loop_
_atom_site_label
_atom_site_fract_x
_atom_site_fract_y
_atom_site_fract_z
Ta1 0.000 0.000 0.000
S1 0.240 0.177 0.500
```


First-principles (PBE-GGA) data for a relaxed TaS2 crystal, as listed in Alexandria.

Structure (CIF):
```
data_TaS2
_chemical_formula_sum 'Ta4 S8'
_cell_length_a 3.3580
_cell_length_b 3.3580
_cell_length_c 26.1506
_cell_angle_alpha 90.00
_cell_angle_beta 90.00
_cell_angle_gamma 120.00
_space_group_name_H-M_alt 'P 63/m m c'
_space_group_IT_number 194
_space_group_name_Hall '-P 6c 2c'
loop_
_atom_site_label
_atom_site_fract_x
_atom_site_fract_y
_atom_site_fract_z
Ta1 0.0000 0.0000 0.0000
Ta2 0.0000 0.0000 0.2500
S1 0.3333 0.6667 0.0590
S2 0.3333 0.6667 0.6905
```


First-principles (PBE-GGA) data for a relaxed TaS2 crystal, as listed in Alexandria.

Structure (CIF):
```
data_TaS2
_chemical_formula_sum 'Ta6 S12'
_cell_length_a 3.3966
_cell_length_b 3.3966
_cell_length_c 39.2979
_cell_angle_alpha 90.00
_cell_angle_beta 90.00
_cell_angle_gamma 120.00
_space_group_name_H-M_alt 'R -3 m'
_space_group_IT_number 166
_space_group_name_Hall '-R 3 2"'
loop_
_atom_site_label
_atom_site_fract_x
_atom_site_fract_y
_atom_site_fract_z
Ta1 0.0000 0.0000 0.0817
S1 0.0000 0.0000 0.2129
S2 0.0000 0.0000 0.3764
```


First-principles (PBE-GGA) data for a relaxed TaS2 crystal, as listed in Alexandria.

Structure (CIF):
```
data_TaS2
_chemical_formula_sum 'Ta2 S4'
_cell_length_a 4.315
_cell_length_b 4.314
_cell_length_c 6.813
_cell_angle_alpha 90.00
_cell_angle_beta 108.34
_cell_angle_gamma 90.00
_space_group_name_H-M_alt 'C 1 2/m 1'
_space_group_IT_number 12
loop_
_space_group_symop_operation_xyz
'x,y,z'
'-x,-y,-z'
'-x,y,-z'
'x,-y,z'
'x+1/2,y+1/2,z'
'-x+1/2,-y+1/2,-z'
'-x+1/2,y+1/2,-z'
'x+1/2,-y+1/2,z'
loop_
_atom_site_label
_atom_site_fract_x
_atom_site_fract_y
_atom_site_fract_z
Ta1 0.000 0.000 0.000
S1 0.114 0.500 0.229
```


First-principles (PBE-GGA) data for a relaxed TaS2 crystal, as listed in Alexandria.

Structure (CIF):
```
data_TaS2
_chemical_formula_sum 'Ta4 S8'
_cell_length_a 3.341
_cell_length_b 13.172
_cell_length_c 5.779
_cell_angle_alpha 90.00
_cell_angle_beta 90.00
_cell_angle_gamma 90.00
_space_group_name_H-M_alt 'F m m 2'
_space_group_IT_number 42
_space_group_name_Hall 'F 2 -2'
loop_
_atom_site_label
_atom_site_fract_x
_atom_site_fract_y
_atom_site_fract_z
Ta1 0.000 0.000 0.000
S1 0.000 0.119 0.667
```


First-principles (PBE-GGA) data for a relaxed TaS2 crystal, as listed in Alexandria.

Structure (CIF):
```
data_TaS2
_chemical_formula_sum 'Ta2 S4'
_cell_length_a 3.3417
_cell_length_b 3.3417
_cell_length_c 13.7566
_cell_angle_alpha 90.00
_cell_angle_beta 90.00
_cell_angle_gamma 120.00
_space_group_name_H-M_alt 'P 63/m m c'
_space_group_IT_number 194
_space_group_name_Hall '-P 6c 2c'
loop_
_atom_site_label
_atom_site_fract_x
_atom_site_fract_y
_atom_site_fract_z
Ta1 0.0000 0.0000 0.2500
S1 0.3333 0.6667 0.1364
```


First-principles (PBE-GGA) data for a relaxed TaS2 crystal, as listed in Alexandria.

Structure (CIF):
```
data_TaS2
_chemical_formula_sum 'Ta1 S2'
_cell_length_a 3.1270
_cell_length_b 3.1270
_cell_length_c 9.0577
_cell_angle_alpha 90.00
_cell_angle_beta 90.00
_cell_angle_gamma 120.00
_space_group_name_H-M_alt 'P 6/m m m'
_space_group_IT_number 191
_space_group_name_Hall '-P 6 2'
loop_
_atom_site_label
_atom_site_fract_x
_atom_site_fract_y
_atom_site_fract_z
Ta1 0.0000 0.0000 0.0000
S1 0.0000 0.0000 0.2539
```


First-principles (PBE-GGA) data for a relaxed Ta5S2 crystal, as listed in Alexandria.

Structure (CIF):
```
data_Ta5S2
_chemical_formula_sum 'Ta20 S8'
_cell_length_a 14.089
_cell_length_b 5.874
_cell_length_c 5.657
_cell_angle_alpha 90.00
_cell_angle_beta 95.21
_cell_angle_gamma 90.00
_space_group_name_H-M_alt 'C 1 2/c 1'
_space_group_IT_number 15
loop_
_space_group_symop_operation_xyz
'x,y,z'
'-x,-y,-z'
'-x,y,-z+1/2'
'x,-y,z+1/2'
'x+1/2,y+1/2,z'
'-x+1/2,-y+1/2,-z'
'-x+1/2,y+1/2,-z+1/2'
'x+1/2,-y+1/2,z+1/2'
loop_
_atom_site_label
_atom_site_fract_x
_atom_site_fract_y
_atom_site_fract_z
Ta1 0.000 0.107 0.250
Ta2 0.094 0.455 0.927
Ta3 0.226 0.156 0.259
S1 0.117 0.156 0.612
```


First-principles (PBE-GGA) data for a relaxed Ta2S crystal, as listed in Alexandria.

Structure (CIF):
```
data_Ta2S
_chemical_formula_sum 'Ta24 S12'
_cell_length_a 7.417
_cell_length_b 5.622
_cell_length_c 15.342
_cell_angle_alpha 90.00
_cell_angle_beta 90.00
_cell_angle_gamma 90.00
_space_group_name_H-M_alt 'P b c m'
_space_group_IT_number 57
loop_
_space_group_symop_operation_xyz
'x,y,z'
'-x,-y,-z'
'-x,-y,z+1/2'
'x,y,-z+1/2'
'x,-y+1/2,-z'
'-x,y+1/2,z'
'-x,y+1/2,-z+1/2'
'x,-y+1/2,z+1/2'
loop_
_atom_site_label
_atom_site_fract_x
_atom_site_fract_y
_atom_site_fract_z
Ta1 0.009 0.132 0.250
Ta2 0.096 0.605 0.591
Ta3 0.283 0.105 0.655
Ta4 0.352 0.628 0.750
S1 0.178 0.250 0.000
S2 0.413 0.733 0.598
```


First-principles (PBE-GGA) data for a relaxed Ta4S crystal, as listed in Alexandria.

Structure (CIF):
```
data_Ta4S
_chemical_formula_sum 'Ta4 S1'
_cell_length_a 4.543
_cell_length_b 4.543
_cell_length_c 4.543
_cell_angle_alpha 90.00
_cell_angle_beta 90.00
_cell_angle_gamma 90.00
_space_group_name_H-M_alt 'P m -3 m'
_space_group_IT_number 221
_space_group_name_Hall '-P 4 2 3'
loop_
_atom_site_label
_atom_site_fract_x
_atom_site_fract_y
_atom_site_fract_z
Ta1 0.000 0.000 0.000
Ta2 0.000 0.500 0.500
S1 0.500 0.500 0.500
```


First-principles (PBE-GGA) data for a relaxed TaS2 crystal, as listed in Alexandria.

Structure (CIF):
```
data_TaS2
_chemical_formula_sum 'Ta6 S12'
_cell_length_a 3.3665
_cell_length_b 3.3665
_cell_length_c 38.9227
_cell_angle_alpha 90.00
_cell_angle_beta 90.00
_cell_angle_gamma 120.00
_space_group_name_H-M_alt 'R 3 m'
_space_group_IT_number 160
_space_group_name_Hall 'R 3 -2"'
loop_
_atom_site_label
_atom_site_fract_x
_atom_site_fract_y
_atom_site_fract_z
Ta1 0.0000 0.0000 0.0000
Ta2 0.0000 0.0000 0.1659
S1 0.0000 0.0000 0.2940
S2 0.0000 0.0000 0.4593
S3 0.0000 0.0000 0.5392
S4 0.0000 0.0000 0.7060
```


First-principles (PBE-GGA) data for a relaxed TaS2 crystal, as listed in Alexandria.

Structure (CIF):
```
data_TaS2
_chemical_formula_sum 'Ta3 S6'
_cell_length_a 3.3391
_cell_length_b 3.3391
_cell_length_c 20.4862
_cell_angle_alpha 90.00
_cell_angle_beta 90.00
_cell_angle_gamma 120.00
_space_group_name_H-M_alt 'R 3 m'
_space_group_IT_number 160
_space_group_name_Hall 'R 3 -2"'
loop_
_atom_site_label
_atom_site_fract_x
_atom_site_fract_y
_atom_site_fract_z
Ta1 0.0000 0.0000 0.0000
S1 0.0000 0.0000 0.5903
S2 0.0000 0.0000 0.7431
```


| no. | electronic total energy (eV for the cell shown) | uncorrected formation energy (eV/atom) |
| --- | --- | --- |
| 1 | -45.487 | -0.8786 |
| 2 | -92.963 | -1.0444 |
| 3 | -138.984 | -1.0188 |
| 4 | -44.539 | -0.7207 |
| 5 | -93.040 | -1.0509 |
| 6 | -46.535 | -1.0532 |
| 7 | -18.482 | 0.5418 |
| 8 | -279.909 | -0.3513 |
| 9 | -356.031 | -0.6122 |
| 10 | -50.088 | 0.2899 |
| 11 | -139.366 | -1.0401 |
| 12 | -69.800 | -1.0531 |